(1)
Below is an optimized crystal structure of PmDyHo, with properties calculated at the PBE-GGA level.

a b c (Å): 4.851 4.851 8.642
angles (deg): 90.00 90.00 90.00
Fractional positions:
Dy  0.000  0.500  0.698
Dy  0.500  0.000  0.302
Pm  0.500  0.500  0.000
Pm  0.000  0.000  0.000
Ho  0.500  0.000  0.699
Ho  0.000  0.500  0.301

ΔH_f (0 K) in meV per atom: 234.5
Crystal system: tetragonal
Energy above the most stable polymorph in this dataset in eV per formula unit: 0.65

=====

(2)
Below is an optimized crystal structure of Ac2NiAg, with properties calculated at the PBE-GGA level.

a b c (Å): 4.255 4.255 9.864
angles (deg): 77.54 77.54 60.00
Fractional positions:
Ni  0.500  0.500  0.500
Ac  0.111  0.111  0.666
Ac  0.889  0.889  0.334
Ag  0.000  0.000  0.000

ΔH_f (0 K) in meV per atom: 130.2
Crystal system: trigonal

=====

(3)
Below is an optimized crystal structure of Np2GeAs, with properties calculated at the PBE-GGA level.

a b c (Å): 2.870 5.427 5.427
angles (deg): 90.00 90.00 90.00
Site moments in Bohr magnetons follow the coordinates.
Fractional positions:
Np  0.000  0.000  0.500  4.11
Np  0.000  0.500  0.000  4.11
As  0.500  0.000  0.000  -0.11
Ge  0.500  0.500  0.500  -0.12

ΔH_f (0 K) in meV per atom: -363.3
Crystal system: tetragonal
Energy above the most stable polymorph in this dataset in eV per formula unit: 0.00

=====

(4)
Below is an optimized crystal structure of SiHgRh2, with properties calculated at the PBE-GGA level.

a b c (Å): 2.857 3.757 6.317
angles (deg): 90.00 90.00 90.00
Fractional positions:
Hg  0.500  0.500  0.777
Rh  0.000  0.000  0.025
Rh  0.500  0.500  0.311
Si  0.000  0.000  0.388

Crystal system: orthorhombic
ΔE_f (raw) in eV per atom: -0.0912
Energy above the most stable polymorph in this dataset in eV per formula unit: 1.53

=====

(5)
Below is an optimized crystal structure of BaPd3Cl, with properties calculated at the PBE-GGA level.

a b c (Å): 4.870 4.870 4.870
angles (deg): 90.00 90.00 90.00
Fractional positions:
Ba  0.500  0.500  0.500
Pd  0.000  0.500  0.000
Pd  0.000  0.000  0.500
Pd  0.500  0.000  0.000
Cl  0.000  0.000  0.000

Crystal system: cubic
ΔE_f (raw) in eV per atom: -0.1334
Energy above the most stable polymorph in this dataset in eV per formula unit: 0.00

=====

(6)
Below is an optimized crystal structure of AcMnN3, with properties calculated at the PBE-GGA level.

a b c (Å): 3.899 3.899 3.899
angles (deg): 90.00 90.00 90.00
Site moments in Bohr magnetons follow the coordinates.
Fractional positions:
Ac  0.500  0.500  0.500  0.00
Mn  0.000  0.000  0.000  1.42
N  0.000  0.500  0.000  -0.12
N  0.000  0.000  0.500  -0.12
N  0.500  0.000  0.000  -0.12

Crystal system: cubic
ΔE_f (raw) in eV per atom: -0.3277

=====

(7)
Below is an optimized crystal structure of Nd3Dy2Cd2, with properties calculated at the PBE-GGA level.

a b c (Å): 5.132 3.513 11.940
angles (deg): 90.00 77.59 90.00
Site moments in Bohr magnetons follow the coordinates.
Fractional positions:
Nd  0.855  0.000  0.291  0.03
Nd  0.000  0.000  0.000  0.13
Nd  0.145  0.000  0.709  0.03
Dy  0.710  0.500  0.579  0.00
Dy  0.290  0.500  0.421  0.00
Cd  0.569  0.500  0.861  0.00
Cd  0.431  0.500  0.139  0.00

ΔH_f (0 K) in meV per atom: -56.8
Crystal system: orthorhombic

=====

(8)
Below is an optimized crystal structure of Tb2SmAs, with properties calculated at the PBE-GGA level.

a b c (Å): 3.817 3.817 10.620
angles (deg): 79.65 79.65 60.00
Site moments in Bohr magnetons follow the coordinates.
Fractional positions:
As  0.500  0.500  0.500  0.00
Tb  0.111  0.111  0.666  0.10
Tb  0.889  0.889  0.334  0.10
Sm  0.000  0.000  0.000  0.34

ΔH_f (0 K) in meV per atom: -409.8
Crystal system: trigonal